The following is a DFT calculation (PBE-GGA) of PrSm2I after structural relaxation.

Summary:
excess energy over the best structure of this formula in the dataset	38	meV/atom
M_tot	0.00	μB/f.u.
mass density	6.90	g cm⁻³
symmetry	No. 160
energy relative to the elements, uncorrected	-0.36	eV per atom
energy	-4.302	eV per atom

Lattice parameters (Å, degrees): 3.830 3.830 10.998 79.96 79.96 60.00
Element x y z (fractional)
Pr: 0.500 0.500 0.500
I: 0.667 0.667 0.000
Sm: 0.077 0.077 0.769
Sm: 0.256 0.256 0.231



The following is a DFT calculation (PBE-GGA) of Ac3HfPb5 after structural relaxation.

Summary:
M_tot	0.00	μB/f.u.
energy of formation from the pure elements	-0.403	eV/atom
mass density	10.80	g cm⁻³
symmetry	No. 193
energy	-4.939	eV per atom

Lattice parameters (Å, degrees): 6.689 10.032 10.032 120.00 90.00 90.00
Element x y z (fractional)
Hf: 0.500 0.000 0.000
Pb: 0.500 0.667 0.333
Ac: 0.250 0.385 0.385
Pb: 0.750 0.000 0.742
Ac: 0.750 0.385 0.000
Hf: 0.000 0.000 0.000
Ac: 0.750 0.000 0.385
Pb: 0.000 0.667 0.333
Pb: 0.250 0.742 0.742
Pb: 0.750 0.258 0.258
Pb: 0.000 0.333 0.667
Pb: 0.750 0.742 0.000
Ac: 0.750 0.615 0.615
Ac: 0.250 0.615 0.000
Ac: 0.250 0.000 0.615
Pb: 0.250 0.000 0.258
Pb: 0.500 0.333 0.667
Pb: 0.250 0.258 0.000



The following is a DFT calculation (PBE-GGA) of Ac3TmAl8 after structural relaxation.

Summary:
M_tot	0.00	μB/f.u.
energy of formation from the pure elements	-0.363	eV/atom
mass density	6.34	g cm⁻³
symmetry	No. 160
energy	-4.257	eV per atom

Lattice parameters (Å, degrees): 5.816 5.816 10.103 73.27 73.27 60.00
Element x y z (fractional)
Al: 0.939 0.939 0.680
Al: 0.436 0.436 0.194
Al: 0.934 0.436 0.194
Al: 0.687 0.687 0.940
Al: 0.939 0.442 0.680
Al: 0.436 0.934 0.194
Al: 0.442 0.939 0.680
Ac: 0.000 0.000 0.001
Ac: 0.375 0.375 0.876
Tm: 0.875 0.875 0.375
Ac: 0.500 0.500 0.499
Al: 0.188 0.188 0.435



- Which of these has the lowest mass density?
  Ac3TmAl8



- Which of these has the highest energy?
  Ac3TmAl8



Please write out number 2 again, unchanged.
The following is a DFT calculation (PBE-GGA) of Ac3HfPb5 after structural relaxation.

Summary:
M_tot	0.00	μB/f.u.
energy of formation from the pure elements	-0.403	eV/atom
mass density	10.80	g cm⁻³
symmetry	No. 193
energy	-4.939	eV per atom

Lattice parameters (Å, degrees): 6.689 10.032 10.032 120.00 90.00 90.00
Element x y z (fractional)
Hf: 0.500 0.000 0.000
Pb: 0.500 0.667 0.333
Ac: 0.250 0.385 0.385
Pb: 0.750 0.000 0.742
Ac: 0.750 0.385 0.000
Hf: 0.000 0.000 0.000
Ac: 0.750 0.000 0.385
Pb: 0.000 0.667 0.333
Pb: 0.250 0.742 0.742
Pb: 0.750 0.258 0.258
Pb: 0.000 0.333 0.667
Pb: 0.750 0.742 0.000
Ac: 0.750 0.615 0.615
Ac: 0.250 0.615 0.000
Ac: 0.250 0.000 0.615
Pb: 0.250 0.000 0.258
Pb: 0.500 0.333 0.667
Pb: 0.250 0.258 0.000